This record from Alexandria via LeMat-Bulk describes a relaxed structure of SrLaMnNbO6. The functional is GGA+U.

a b c (Å): 5.7146 5.8699 9.9478
angles (deg): 90.00 124.95 90.00
With the nearest neighbours (Å) after each atom.
Positions (direct):
Sr: 0.0000 0.2093 0.0000  5 O 2.50-2.77
Sr: 0.0000 0.7907 0.5000  5 O 2.50-2.77
La: 0.4751 0.3024 0.4963  5 O 2.39-2.61
La: 0.4751 0.6976 0.9963  5 O 2.39-2.61
Mn: 0.2395 0.2454 0.7496  6 O 2.19-2.22
Mn: 0.2395 0.7546 0.2496  6 O 2.19-2.22
Nb: 0.7407 0.2464 0.2501  6 O 2.00-2.05
Nb: 0.7407 0.7536 0.7501  6 O 2.00-2.05
O: 0.0817 0.0584 0.3009  1 Nb 2.04, 1 Mn 2.19
O: 0.0817 0.9416 0.8009  1 Nb 2.04, 1 Mn 2.19
O: 0.4244 0.4499 0.2116  1 Nb 2.01, 1 Mn 2.22
O: 0.4244 0.5501 0.7116  1 Nb 2.01, 1 Mn 2.22
O: 0.5077 0.0422 0.6989  1 Nb 2.03, 1 Mn 2.22
O: 0.5077 0.9578 0.1989  1 Nb 2.03, 1 Mn 2.22
O: 0.5825 0.2843 0.0123  1 Nb 2.00, 1 Mn 2.20
O: 0.5825 0.7157 0.5123  1 Nb 2.00, 1 Mn 2.20
O: 0.8782 0.2213 0.4901  1 Nb 2.05, 1 Mn 2.20
O: 0.8782 0.7787 0.9901  1 Nb 2.05, 1 Mn 2.20
O: 0.9967 0.4793 0.8019  1 Nb 2.03, 1 Mn 2.22
O: 0.9967 0.5207 0.3019  1 Nb 2.03, 1 Mn 2.22

Summary:
calculated density	5.71	g/cm³
DOS at the Fermi energy	0.0	states/eV/f.u.
SG	Pc
VASP energy	-163.62	eV/cell